No. 1
The following is a PBE-GGA calculation of KTl2NiAg after structural relaxation, from the Alexandria database.

a b c (Å): 5.0814 5.0814 5.3045
angles (deg): 90.00 90.00 90.00
Last column: nearest neighbours and their distance in Å.
Element x y z (fractional)
K 0.0000 0.0000 0.0000  4 Ag 3.59, 8 Tl 3.67
Tl 0.0000 0.5000 0.5000  2 Ni 2.54
Tl 0.5000 0.0000 0.5000  2 Ni 2.54
Ni 0.5000 0.5000 0.5000  4 Tl 2.54, 2 Ag 2.65
Ag 0.5000 0.5000 0.0000  2 Ni 2.65

Values from the calculation:
- ΔH_f (0 K): 66.6 meV per atom
- E_tot: -2.8260 eV/atom
- Total magnetic moment: 0.00 μB/atom



No. 2
The following is a PBE-GGA calculation of KVNi2Ag after structural relaxation, from the Alexandria database.

a b c (Å): 4.5254 4.5254 4.7979
angles (deg): 90.00 90.00 90.00
Last column: nearest neighbours and their distance in Å.
Element x y z (fractional)
K 0.0000 0.0000 0.0000  4 Ni 2.26, 2 V 2.40
V 0.0000 0.0000 0.5000  2 K 2.40
Ni 0.0000 0.5000 0.0000  2 K 2.26
Ni 0.5000 0.0000 0.0000  2 K 2.26
Ag 0.5000 0.5000 0.5000  4 V 3.20, 8 Ni 3.30

Values from the calculation:
- ΔH_f (0 K): 2097.1 meV per atom
- E_tot: -2.8289 eV/atom
- Total magnetic moment: 0.89 μB/atom



No. 3
The following is a PBE-GGA calculation of KYNiAg2 after structural relaxation, from the Alexandria database.

a b c (Å): 5.1268 5.1268 5.8222
angles (deg): 90.00 90.00 90.00
Last column: nearest neighbours and their distance in Å.
Element x y z (fractional)
K 0.0000 0.0000 0.0000  4 Ag 2.56
Y 0.0000 0.0000 0.5000  2 K 2.91
Ni 0.5000 0.5000 0.5000  4 Y 3.63, 8 Ag 3.88
Ag 0.0000 0.5000 0.0000  2 K 2.56
Ag 0.5000 0.0000 0.0000  2 K 2.56

Values from the calculation:
- ΔH_f (0 K): 1624.5 meV per atom
- E_tot: -2.1845 eV/atom
- Total magnetic moment: 0.11 μB/atom



No. 4
The following is a PBE-GGA calculation of K2NpAg2O6 after structural relaxation, from the Alexandria database.

a b c (Å): 5.8120 5.8120 6.9284
angles (deg): 104.90 104.90 110.01
Last column: nearest neighbours and their distance in Å.
Element x y z (fractional)
K 0.1855 0.8145 0.0000  6 O 2.70-2.83
K 0.8145 0.1855 0.0000  6 O 2.70-2.83
Np 0.0000 0.0000 0.5000  6 O 2.00-2.16
Ag 0.3389 0.6611 0.5000  4 O 2.26-2.31
Ag 0.6611 0.3389 0.5000  4 O 2.26-2.31
O 0.0279 0.3231 0.7141  1 Np 2.00
O 0.2240 0.2240 0.3508  1 Np 2.16, 2 Ag 2.26
O 0.3231 0.0279 0.7141  1 Np 2.00
O 0.6769 0.9721 0.2859  1 Np 2.00
O 0.7760 0.7760 0.6492  1 Np 2.16, 2 Ag 2.26
O 0.9721 0.6769 0.2859  1 Np 2.00

Values from the calculation:
- Formation energy from raw total energies: -1.552 eV/atom
- E_tot: -6.1504 eV/atom
- Total magnetic moment: 0.08 μB/atom



No. 5
The following is a PBE-GGA calculation of KNpAg2O8 after structural relaxation, from the Alexandria database.

a b c (Å): 6.5365 6.5365 6.5365
angles (deg): 118.47 118.47 92.68
Last column: nearest neighbours and their distance in Å.
Element x y z (fractional)
K 0.0000 0.0000 0.0000  8 O 2.65-2.93
Np 0.7500 0.2500 0.5000  4 O 1.92
Ag 0.2500 0.7500 0.5000  4 O 2.28
Ag 0.5000 0.5000 0.0000  4 O 2.44
O 0.0094 0.4051 0.3957  1 O 1.40
O 0.0094 0.6137 0.6043  1 O 1.40
O 0.0658 0.2823 0.7835  1 Np 1.92
O 0.3863 0.9906 0.3957  1 O 1.40
O 0.4987 0.2823 0.2165  1 Np 1.92
O 0.5949 0.9906 0.6043  1 O 1.40
O 0.7177 0.5013 0.7835  1 Np 1.92
O 0.7177 0.9342 0.2165  1 Np 1.92

Values from the calculation:
- Formation energy from raw total energies: -0.987 eV/atom
- E_tot: -5.9379 eV/atom
- Total magnetic moment: 0.17 μB/atom



No. 6
The following is a PBE-GGA calculation of KNpAgO5 after structural relaxation, from the Alexandria database.

a b c (Å): 6.2205 6.2205 8.1585
angles (deg): 100.68 100.68 114.12
Last column: nearest neighbours and their distance in Å.
Element x y z (fractional)
K 0.1811 0.8189 0.7500  7 O 2.72-2.93
K 0.8189 0.1811 0.2500  7 O 2.72-2.93
Np 0.5000 0.5000 0.0000  6 O 1.95-2.13
Np 0.5000 0.5000 0.5000  6 O 1.95-2.13
Ag 0.1756 0.8244 0.2500  4 O 2.20-2.21
Ag 0.8244 0.1756 0.7500  4 O 2.20-2.21
O 0.1674 0.2277 0.9273  1 Np 1.95
O 0.2277 0.1674 0.4273  1 Np 1.95
O 0.2634 0.6238 0.4249  1 Np 1.97, 1 Ag 2.20
O 0.3762 0.7366 0.0751  1 Np 1.97, 1 Ag 2.20
O 0.4412 0.5588 0.7500  2 Np 2.13
O 0.5588 0.4412 0.2500  2 Np 2.13
O 0.6238 0.2634 0.9249  1 Np 1.97, 1 Ag 2.20
O 0.7366 0.3762 0.5751  1 Np 1.97, 1 Ag 2.20
O 0.7723 0.8326 0.5727  1 Np 1.95
O 0.8326 0.7723 0.0727  1 Np 1.95

Values from the calculation:
- Formation energy from raw total energies: -1.779 eV/atom
- E_tot: -6.9887 eV/atom
- Total magnetic moment: 0.00 μB/atom



No. 7
The following is a PBE-GGA calculation of K2NpAgO5 after structural relaxation, from the Alexandria database.

a b c (Å): 7.3266 7.3266 7.3266
angles (deg): 145.84 132.62 59.70
Last column: nearest neighbours and their distance in Å.
Element x y z (fractional)
K 0.2217 0.2217 0.0000  7 O 2.65-2.91
K 0.7783 0.7783 0.0000  7 O 2.65-2.91
Np 0.0000 0.5000 0.5000  6 O 1.97-2.15
Ag 0.5000 0.0000 0.5000  10 O 2.94-3.02
O 0.0000 0.0000 0.0000  2 Np 2.15
O 0.1209 0.3888 0.7321  1 Np 1.97
O 0.3433 0.6112 0.7321  1 Np 1.97
O 0.6567 0.3888 0.2679  1 Np 1.97
O 0.8791 0.6112 0.2679  1 Np 1.97

Values from the calculation:
- Formation energy from raw total energies: -1.841 eV/atom
- E_tot: -6.5937 eV/atom
- Total magnetic moment: 0.00 μB/atom



No. 8
The following is a PBE-GGA calculation of K4Np3AgO12 after structural relaxation, from the Alexandria database.

a b c (Å): 7.4967 7.4967 7.4967
angles (deg): 109.47 109.47 109.47
Last column: nearest neighbours and their distance in Å.
Element x y z (fractional)
K 0.0000 0.0000 0.5000  12 O 3.06-3.07
K 0.0000 0.5000 0.0000  12 O 3.06-3.07
K 0.5000 0.0000 0.0000  12 O 3.06-3.07
K 0.5000 0.5000 0.5000  12 O 3.06-3.07
Np 0.0000 0.5000 0.5000  2 O 1.89
Np 0.5000 0.0000 0.5000  2 O 1.89
Np 0.5000 0.5000 0.0000  2 O 1.89
Ag 0.0000 0.0000 0.0000  6 O 2.43
O 0.0000 0.2811 0.2811  1 Np 1.89
O 0.0000 0.7189 0.7189  1 Np 1.89
O 0.2500 0.5000 0.7500  2 Np 2.16
O 0.2500 0.7500 0.5000  2 Np 2.16
O 0.2811 0.0000 0.2811  1 Np 1.89
O 0.2811 0.2811 0.0000  1 Np 1.89
O 0.5000 0.2500 0.7500  2 Np 2.16
O 0.5000 0.7500 0.2500  2 Np 2.16
O 0.7189 0.0000 0.7189  1 Np 1.89
O 0.7189 0.7189 0.0000  1 Np 1.89
O 0.7500 0.2500 0.5000  2 Np 2.16
O 0.7500 0.5000 0.2500  2 Np 2.16

Values from the calculation:
- Formation energy from raw total energies: -2.358 eV/atom
- E_tot: -7.6358 eV/atom
- Total magnetic moment: 0.10 μB/atom



No. 9
The following is a PBE-GGA calculation of KNpAgO6 after structural relaxation, from the Alexandria database.

a b c (Å): 5.4897 5.4897 6.0230
angles (deg): 90.75 90.75 118.31
Last column: nearest neighbours and their distance in Å.
Element x y z (fractional)
K 0.0000 0.0000 0.0000  6 O 2.77-2.79
Np 0.3406 0.6594 0.5000  6 O 1.96-2.07
Ag 0.6742 0.3258 0.5000  4 O 2.07-2.08
O 0.0172 0.3644 0.6772  1 Np 2.07, 1 Ag 2.07
O 0.0508 0.6470 0.3000  1 Np 1.96
O 0.3530 0.9492 0.7000  1 Np 1.96
O 0.3806 0.3738 0.3102  1 Np 2.02, 1 Ag 2.08
O 0.6262 0.6194 0.6898  1 Np 2.02, 1 Ag 2.08
O 0.6356 0.9828 0.3228  1 Np 2.07, 1 Ag 2.07

Values from the calculation:
- Formation energy from raw total energies: -1.443 eV/atom
- E_tot: -6.6249 eV/atom
- Total magnetic moment: 0.09 μB/atom



No. 10
The following is a PBE-GGA calculation of K2NpAgS4 after structural relaxation, from the Alexandria database.

a b c (Å): 6.7445 4.0843 7.6954
angles (deg): 90.00 108.31 90.00
Last column: nearest neighbours and their distance in Å.
Element x y z (fractional)
K 0.0000 0.0000 0.0000  6 S 3.08-3.15
K 0.5000 0.5000 0.0000  6 S 3.21-3.31
Np 0.0000 0.5000 0.5000  6 S 2.57-2.70
Ag 0.5000 0.0000 0.5000  6 S 2.79-2.82
S 0.2166 0.0000 0.7023  2 Np 2.70, 1 Ag 2.82
S 0.2454 0.5000 0.3040  1 Np 2.57, 2 Ag 2.79
S 0.7546 0.5000 0.6960  1 Np 2.57, 2 Ag 2.79
S 0.7834 0.0000 0.2977  2 Np 2.70, 1 Ag 2.82

Values from the calculation:
- Formation energy from raw total energies: -0.992 eV/atom
- E_tot: -5.3045 eV/atom
- Total magnetic moment: 0.25 μB/atom



Number 3 is which compound? KYNiAg2